1.
This record from the Alexandria database describes a PBEsol-optimized structure of Li4MnF7. The functional is meta-GGA SCAN.

crystal system = cubic
formation energy from raw total energies = -2.99 eV per atom

a = 5.8498 Å, b = 5.8498 Å, c = 5.8498 Å
α = 60.00°, β = 60.00°, γ = 60.00°
With the nearest neighbours (Å) after each atom.
Atoms (fractional coordinates):
Li 0.6263 0.1210 0.6263  4 F 1.77-1.87
Li 0.6263 0.6263 0.6263  4 F 1.77-1.87
Li 0.6263 0.6263 0.1210  4 F 1.77-1.87
Li 0.1210 0.6263 0.6263  4 F 1.77-1.87
Mn 0.0000 0.0000 0.0000  6 F 1.95
F 0.7500 0.7500 0.7500  4 Li 1.77
F 0.7645 0.2355 0.7645  2 Li 1.87, 1 Mn 1.95
F 0.2355 0.7645 0.7645  2 Li 1.87, 1 Mn 1.95
F 0.2355 0.2355 0.7645  2 Li 1.87, 1 Mn 1.95
F 0.7645 0.2355 0.2355  2 Li 1.87, 1 Mn 1.95
F 0.7645 0.7645 0.2355  2 Li 1.87, 1 Mn 1.95
F 0.2355 0.7645 0.2355  2 Li 1.87, 1 Mn 1.95



2.
This record from the Alexandria database describes a PBEsol-optimized structure of Li2MnF4. The functional is meta-GGA SCAN.

crystal system = tetragonal
formation energy from raw total energies = -2.96 eV per atom
energy relative to the lowest polymorph listed for this composition = 50 meV per atom

a = 4.1088 Å, b = 4.1088 Å, c = 5.2872 Å
α = 112.87°, β = 112.87°, γ = 90.00°
With the nearest neighbours (Å) after each atom.
Atoms (fractional coordinates):
F 0.2386 0.2386 0.4772  4 Li 2.06, 1 Mn 2.11
F 0.7614 0.7614 0.5228  4 Li 2.06, 1 Mn 2.11
F 0.0000 0.5000 0.0000  2 Mn 2.05, 2 Li 2.21
F 0.5000 0.0000 0.0000  2 Mn 2.05, 2 Li 2.21
Mn 0.0000 0.0000 0.0000  6 F 2.05-2.11
Li 0.7500 0.2500 0.5000  6 F 2.06-2.21
Li 0.2500 0.7500 0.5000  6 F 2.06-2.21



3.
This record from the Alexandria database describes a PBEsol-optimized structure of LiMnF4. The functional is meta-GGA SCAN.

crystal system = orthorhombic
formation energy from raw total energies = -2.95 eV per atom

a = 4.5282 Å, b = 4.5282 Å, c = 6.2360 Å
α = 90.00°, β = 90.00°, γ = 87.32°
With the nearest neighbours (Å) after each atom.
Atoms (fractional coordinates):
Li 0.5001 0.4999 0.2500  6 F 2.00-2.04
Li 0.4999 0.5001 0.7500  6 F 2.00-2.04
Mn 0.0000 0.0000 0.0000  6 F 1.81-2.01
Mn 0.0000 0.0000 0.5000  6 F 1.81-2.01
F 0.1941 0.1942 0.7500  1 Li 2.00, 2 Mn 2.01
F 0.1942 0.1941 0.2500  1 Li 2.00, 2 Mn 2.01
F 0.2898 0.7102 0.5000  1 Mn 1.81
F 0.7102 0.2898 0.0000  1 Mn 1.81
F 0.2898 0.7102 0.0000  1 Mn 1.81
F 0.7102 0.2898 0.5000  1 Mn 1.81
F 0.8059 0.8058 0.2500  1 Li 2.00, 2 Mn 2.01
F 0.8058 0.8059 0.7500  1 Li 2.00, 2 Mn 2.01